Record 1
VASP calculation (PBE-GGA) on crystalline LiTcNi2 at its relaxed geometry.

Computed properties:
- Size of the total moment: 0.4 μB/f.u.
- Space group: I-4m2, No. 119
- E above lowest polymorph: 188 meV per atom
- Formation energy from the elements: 79 kJ/mol of formula units
- Fermi-level density of states: 4.631 states/eV/f.u.

Geometry as CIF:
```
data_LiTcNi2
_chemical_formula_sum 'Li1 Tc1 Ni2'
_symmetry_space_group_name_H-M 'P 1'
_symmetry_Int_Tables_number 1
_cell_length_a 4.408
_cell_length_b 4.408
_cell_length_c 4.408
_cell_angle_alpha 131.50
_cell_angle_beta 131.50
_cell_angle_gamma 71.02
loop_
_symmetry_equiv_pos_as_xyz
'x,y,z'
loop_
_atom_site_label
_atom_site_type_symbol
_atom_site_fract_x
_atom_site_fract_y
_atom_site_fract_z
_atom_site_occupancy
Li1 Li 0.000 0.000 0.000 1
Tc1 Tc 0.750 0.250 0.500 1
Ni1 Ni 0.250 0.750 0.500 1
Ni2 Ni 0.500 0.500 0.000 1
```

---

Record 2
VASP calculation (PBE-GGA) on crystalline LiTcNi2 at its relaxed geometry.

Computed properties:
- Size of the total moment: 0.0 μB/f.u.
- Space group: Cm, No. 8
- E above lowest polymorph: 18 meV per atom
- Formation energy from the elements: 13 kJ/mol of formula units
- Fermi-level density of states: 4.009 states/eV/f.u.

Geometry as CIF:
```
data_LiTcNi2
_chemical_formula_sum 'Li1 Tc1 Ni2'
_symmetry_space_group_name_H-M 'P 1'
_symmetry_Int_Tables_number 1
_cell_length_a 4.649
_cell_length_b 4.649
_cell_length_c 4.459
_cell_angle_alpha 102.68
_cell_angle_beta 102.68
_cell_angle_gamma 31.55
loop_
_symmetry_equiv_pos_as_xyz
'x,y,z'
loop_
_atom_site_label
_atom_site_type_symbol
_atom_site_fract_x
_atom_site_fract_y
_atom_site_fract_z
_atom_site_occupancy
Li1 Li 0.000 0.000 0.000 1
Tc1 Tc 0.216 0.216 0.634 1
Ni1 Ni 0.470 0.470 0.487 1
Ni2 Ni 0.756 0.756 0.146 1
```

---

Record 3
VASP calculation (PBE-GGA) on crystalline LiTcNi3 at its relaxed geometry.

Computed properties:
- Size of the total moment: 4.0 μB/f.u.
- Space group: Pm-3m, No. 221
- E above lowest polymorph: 759 meV per atom
- Formation energy from the elements: 374 kJ/mol of formula units
- Fermi-level density of states: 2.125 states/eV/f.u.

Geometry as CIF:
```
data_LiTcNi3
_chemical_formula_sum 'Li1 Tc1 Ni3'
_symmetry_space_group_name_H-M 'P 1'
_symmetry_Int_Tables_number 1
_cell_length_a 3.908
_cell_length_b 3.908
_cell_length_c 3.908
_cell_angle_alpha 90.00
_cell_angle_beta 90.00
_cell_angle_gamma 90.00
loop_
_symmetry_equiv_pos_as_xyz
'x,y,z'
loop_
_atom_site_label
_atom_site_type_symbol
_atom_site_fract_x
_atom_site_fract_y
_atom_site_fract_z
_atom_site_occupancy
Li1 Li 0.000 0.000 0.000 1
Tc1 Tc 0.500 0.500 0.500 1
Ni1 Ni 0.000 0.000 0.500 1
Ni2 Ni 0.000 0.500 0.000 1
Ni3 Ni 0.500 0.000 0.000 1
```

---

Record 4
VASP calculation (PBE-GGA) on crystalline LiZnTcNi at its relaxed geometry.

Computed properties:
- Size of the total moment: 2.1 μB/f.u.
- Space group: F-43m, No. 216
- Formation energy from the elements: 41 kJ/mol of formula units
- Fermi-level density of states: 1.893 states/eV/f.u.

Geometry as CIF:
```
data_LiZnTcNi
_chemical_formula_sum 'Li1 Zn1 Tc1 Ni1'
_symmetry_space_group_name_H-M 'P 1'
_symmetry_Int_Tables_number 1
_cell_length_a 4.155
_cell_length_b 4.155
_cell_length_c 4.155
_cell_angle_alpha 60.00
_cell_angle_beta 60.00
_cell_angle_gamma 60.00
loop_
_symmetry_equiv_pos_as_xyz
'x,y,z'
loop_
_atom_site_label
_atom_site_type_symbol
_atom_site_fract_x
_atom_site_fract_y
_atom_site_fract_z
_atom_site_occupancy
Li1 Li 0.000 0.000 0.000 1
Zn1 Zn 0.250 0.250 0.250 1
Tc1 Tc 0.750 0.750 0.750 1
Ni1 Ni 0.500 0.500 0.500 1
```

---

Record 5
VASP calculation (PBE-GGA) on crystalline LiNi2Te at its relaxed geometry.

Computed properties:
- Size of the total moment: 0.0 μB/f.u.
- Space group: I-42d, No. 122
- Raw formation energy: 0.05 eV per atom
- Fermi-level density of states: 3.551 states/eV/f.u.

Geometry as CIF:
```
data_LiNi2Te
_chemical_formula_sum 'Li2 Ni4 Te2'
_symmetry_space_group_name_H-M 'P 1'
_symmetry_Int_Tables_number 1
_cell_length_a 8.931
_cell_length_b 8.931
_cell_length_c 8.931
_cell_angle_alpha 155.20
_cell_angle_beta 155.20
_cell_angle_gamma 35.35
loop_
_symmetry_equiv_pos_as_xyz
'x,y,z'
loop_
_atom_site_label
_atom_site_type_symbol
_atom_site_fract_x
_atom_site_fract_y
_atom_site_fract_z
_atom_site_occupancy
Li1 Li 0.000 0.000 0.000 1
Li2 Li 0.750 0.250 0.500 1
Ni1 Ni 0.135 0.625 0.010 1
Ni2 Ni 0.375 0.385 0.510 1
Ni3 Ni 0.615 0.125 0.990 1
Ni4 Ni 0.875 0.865 0.490 1
Te1 Te 0.250 0.750 0.500 1
Te2 Te 0.500 0.500 0.000 1
```

---

Record 6
VASP calculation (PBE-GGA) on crystalline LiNiTe at its relaxed geometry.

Computed properties:
- Size of the total moment: 0.0 μB/f.u.
- Space group: P4/nmm, No. 129
- Raw formation energy: -0.52 eV per atom
- E above lowest polymorph: 0 meV per atom
- Fermi-level density of states: 2.357 states/eV/f.u.

Geometry as CIF:
```
data_LiNiTe
_chemical_formula_sum 'Li2 Ni2 Te2'
_symmetry_space_group_name_H-M 'P 1'
_symmetry_Int_Tables_number 1
_cell_length_a 4.099
_cell_length_b 4.099
_cell_length_c 6.231
_cell_angle_alpha 90.00
_cell_angle_beta 90.00
_cell_angle_gamma 90.00
loop_
_symmetry_equiv_pos_as_xyz
'x,y,z'
loop_
_atom_site_label
_atom_site_type_symbol
_atom_site_fract_x
_atom_site_fract_y
_atom_site_fract_z
_atom_site_occupancy
Li1 Li 0.250 0.250 0.211 1
Li2 Li 0.750 0.750 0.789 1
Ni1 Ni 0.250 0.750 0.500 1
Ni2 Ni 0.750 0.250 0.500 1
Te1 Te 0.250 0.250 0.750 1
Te2 Te 0.750 0.750 0.250 1
```